CsRb2Hg2Cl7 | PBE-GGA | relaxed

Structure (extended XYZ):
```
12
Lattice="3.8432 -3.8430 0.0000 3.8432 3.8430 0.0000 -3.8392 0.0000 13.4026" Properties=species:S:1:pos:R:3 pbc="T T T"
Cs 0.0000 0.0000 0.0000
Rb 0.0134 0.0000 4.7910
Rb 3.8339 0.0000 8.6116
Hg 0.0025 0.0000 10.6897
Hg 3.8448 0.0000 2.7129
Cl 1.9249 1.9245 2.6318
Cl 0.0166 0.0000 8.0845
Cl 1.9224 1.9245 10.7708
Cl 3.8432 0.0000 0.0000
Cl 1.9249 -1.9245 2.6318
Cl 3.8307 0.0000 5.3181
Cl 1.9224 -1.9245 10.7708
```

Summary:
SG = C2/m
calculated density = 4.00 g/cm3
uncorrected energy = -2.6492 eV per atom

Cs2Rb2Hg2Cl | PBE-GGA | relaxed

Structure (extended XYZ):
```
7
Lattice="8.6781 -2.4224 0.0000 8.6781 2.4224 0.0000 -5.2266 0.0000 9.0657" Properties=species:S:1:pos:R:3 pbc="T T T"
Cs -0.6972 0.0000 2.7389
Cs 12.8268 0.0000 6.3268
Rb 3.9696 0.0000 1.9716
Rb 8.1600 0.0000 7.0940
Hg 1.9803 0.0000 8.7282
Hg 10.1493 0.0000 0.3375
Cl 6.0648 0.0000 4.5328
```

Summary:
SG = C2/m
calculated density = 3.80 g/cm3
uncorrected energy = -1.5246 eV per atom
D(E_F) = 0.374 states/eV per atom